The following is a PBE calculation of an optimized crystal structure of Pr6AgRu2Br3, from Alexandria via LeMat-Bulk.

Summary:
Formation energy (no corrections)   -0.792 eV per atom
SG   C2/m
Uncorrected energy   -5.384 eV/atom

Cell: 7.274 7.274 8.304 Å, 98.36 98.36 120.02°
Positions (direct):
Pr: 0.933 0.573 0.799
Pr: 0.294 0.294 0.800
Ag: 0.000 0.000 0.000
Pr: 0.427 0.067 0.201
Br: 0.500 0.500 0.500
Pr: 0.573 0.933 0.799
Br: 0.168 0.832 0.500
Pr: 0.067 0.427 0.201
Ru: 0.667 0.333 0.000
Br: 0.832 0.168 0.500
Pr: 0.706 0.706 0.200
Ru: 0.333 0.667 0.000